Entry 1:
Material: Ho9AlIn2
Method: DFT, PBE
State: relaxed

a b c (Å): 4.7937 4.7937 14.3766
angles (deg): 90.00 90.00 90.00
Fractional positions:
Ho1 0.0000 0.0000 0.0000
Ho2 0.0000 0.0000 0.3312
Ho3 0.0000 0.0000 0.6688
Ho4 0.0000 0.5000 0.1613
Ho5 0.0000 0.5000 0.5000
Ho6 0.0000 0.5000 0.8387
Ho7 0.5000 0.0000 0.1613
Ho8 0.5000 0.0000 0.5000
Ho9 0.5000 0.0000 0.8387
Al1 0.5000 0.5000 0.0000
In1 0.5000 0.5000 0.3317
In2 0.5000 0.5000 0.6683

Calculated values
ΔE_f = -279 kJ/mol of formula units

=====

Entry 2:
Material: La2DyTm
Method: DFT, PBE
State: relaxed

a b c (Å): 5.7862 5.7862 5.7862
angles (deg): 60.00 60.00 60.00
Fractional positions:
La1 0.2500 0.2500 0.2500
La2 0.7500 0.7500 0.7500
Dy1 0.0000 0.0000 0.0000
Tm1 0.5000 0.5000 0.5000

Calculated values
Excess energy over the best structure of this formula in the dataset = 0.057 eV/atom
ΔE_f = 30 kJ/mol of formula units

=====

Entry 3:
Material: AcGa2Tc4
Method: DFT, PBE
State: relaxed

a b c (Å): 7.5560 7.5560 4.2938
angles (deg): 90.00 90.00 146.98
Fractional positions:
Ac1 0.0000 0.0000 0.0000
Ga1 0.4062 0.5938 0.5000
Ga2 0.5938 0.4062 0.5000
Tc1 0.2022 0.7978 0.5000
Tc2 0.2976 0.7024 0.0000
Tc3 0.7024 0.2976 0.0000
Tc4 0.7978 0.2022 0.5000

Calculated values
ΔE_f = -161 kJ/mol of formula units

=====

Entry 4:
Material: YEr2HfAs4
Method: DFT, PBE
State: relaxed

a b c (Å): 6.9571 4.0137 6.9605
angles (deg): 90.00 109.27 90.00
Fractional positions:
Y1 0.0000 0.0000 0.0000
Er1 0.5000 0.0000 0.5000
Er2 0.5000 0.5000 0.0000
Hf1 0.0000 0.5000 0.5000
As1 0.2401 0.0000 0.7382
As2 0.2461 0.5000 0.2578
As3 0.7539 0.5000 0.7422
As4 0.7599 0.0000 0.2618

Calculated values
ΔE_f = -1076 kJ/mol of formula units

=====

Entry 5:
Material: SrAg2Pd3
Method: DFT, PBE
State: relaxed

a b c (Å): 5.5881 5.5881 4.5063
angles (deg): 90.00 90.00 120.00
Fractional positions:
Sr1 0.0000 0.0000 0.0000
Ag1 0.3333 0.6667 0.0000
Ag2 0.6667 0.3333 0.0000
Pd1 0.0000 0.5000 0.5000
Pd2 0.5000 0.0000 0.5000
Pd3 0.5000 0.5000 0.5000

Calculated values
ΔE_f = -196 kJ/mol of formula units

=====

Entry 6:
Material: Ac7Ni2Rh2
Method: DFT, PBE
State: relaxed

a b c (Å): 7.4127 7.4127 8.0769
angles (deg): 92.10 92.10 114.66
Fractional positions:
Ac1 0.0000 0.0000 0.0000
Ac2 0.0561 0.4397 0.7367
Ac3 0.3567 0.3567 0.3121
Ac4 0.4397 0.0561 0.7367
Ac5 0.5603 0.9439 0.2633
Ac6 0.6433 0.6433 0.6879
Ac7 0.9439 0.5603 0.2633
Ni1 0.3130 0.6870 0.5000
Ni2 0.6870 0.3130 0.5000
Rh1 0.3376 0.3376 0.9234
Rh2 0.6624 0.6624 0.0766

Calculated values
ΔE_f = -169 kJ/mol of formula units

=====

Entry 7:
Material: Er4Cd5Pd2
Method: DFT, PBE
State: relaxed

a b c (Å): 7.6396 3.5387 9.7237
angles (deg): 90.00 93.86 90.00
Fractional positions:
Er1 0.1673 0.0000 0.3572
Er2 0.2300 0.0000 0.9463
Er3 0.7700 0.0000 0.0537
Er4 0.8327 0.0000 0.6428
Cd1 0.1878 0.5000 0.6508
Cd2 0.4519 0.5000 0.1832
Cd3 0.5000 0.5000 0.5000
Cd4 0.5481 0.5000 0.8168
Cd5 0.8122 0.5000 0.3492
Pd1 0.0678 0.5000 0.1394
Pd2 0.9322 0.5000 0.8606

Calculated values
ΔE_f = -536 kJ/mol of formula units

=====

Entry 8:
Material: Dy2NbCl
Method: DFT, PBE
State: relaxed

a b c (Å): 10.6407 10.6407 10.6407
angles (deg): 17.51 17.51 17.51
Fractional positions:
Dy1 0.0943 0.0943 0.0943
Dy2 0.9057 0.9057 0.9057
Nb1 0.0000 0.0000 0.0000
Cl1 0.5000 0.5000 0.5000

Calculated values
Uncorrected formation energy = -7.33 kJ/mol of atoms

=====

Entry 9:
Material: Y3ErTe6
Method: DFT, PBE
State: relaxed

a b c (Å): 9.0072 9.0072 9.0072
angles (deg): 90.48 90.48 90.48
Fractional positions:
Y1 0.0749 0.5819 0.7428
Y2 0.2572 0.9251 0.4181
Y3 0.4181 0.2572 0.9251
Y4 0.5819 0.7428 0.0749
Y5 0.7428 0.0749 0.5819
Y6 0.9251 0.4181 0.2572
Er1 0.0000 0.0000 0.0000
Er2 0.5000 0.5000 0.5000
Te1 0.0392 0.9109 0.6803
Te2 0.0891 0.3197 0.9608
Te3 0.1858 0.5860 0.4093
Te4 0.3197 0.9608 0.0891
Te5 0.4093 0.1858 0.5860
Te6 0.4140 0.5907 0.8142
Te7 0.5860 0.4093 0.1858
Te8 0.5907 0.8142 0.4140
Te9 0.6803 0.0392 0.9109
Te10 0.8142 0.4140 0.5907
Te11 0.9109 0.6803 0.0392
Te12 0.9608 0.0891 0.3197

Calculated values
Excess energy over the best structure of this formula in the dataset = 0.007 eV/atom
Uncorrected formation energy = -130.06 kJ/mol of atoms

=====

Entry 10:
Material: Pm5Sm2Er12
Method: DFT, PBE
State: relaxed

a b c (Å): 9.9542 9.9542 8.6649
angles (deg): 112.75 112.75 53.91
Fractional positions:
Pm1 0.0000 0.0000 0.0000
Pm2 0.2355 0.2355 0.7906
Pm3 0.2827 0.2827 0.2683
Pm4 0.7173 0.7173 0.7317
Pm5 0.7645 0.7645 0.2094
Sm1 0.3282 0.6718 0.5000
Sm2 0.6718 0.3282 0.5000
Er1 0.0395 0.6696 0.5949
Er2 0.0441 0.0441 0.6829
Er3 0.1540 0.5937 0.0466
Er4 0.3304 0.9605 0.4051
Er5 0.4063 0.8460 0.9534
Er6 0.4370 0.4370 0.7853
Er7 0.5630 0.5630 0.2147
Er8 0.5937 0.1540 0.0466
Er9 0.6696 0.0395 0.5949
Er10 0.8460 0.4063 0.9534
Er11 0.9559 0.9559 0.3171
Er12 0.9605 0.3304 0.4051

Calculated values
Excess energy over the best structure of this formula in the dataset = 0.099 eV/atom
ΔE_f = 410 kJ/mol of formula units

=====

Entry 11:
Material: Ce2HF8
Method: DFT, PBE
State: relaxed

a b c (Å): 6.2192 6.2192 4.2507
angles (deg): 100.74 100.74 66.98
Fractional positions:
Ce1 0.1761 0.1761 0.3765
Ce2 0.8239 0.8239 0.6235
H1 0.5000 0.5000 0.5000
F1 0.0509 0.0509 0.7862
F2 0.2032 0.5599 0.5300
F3 0.2802 0.2802 0.9678
F4 0.4401 0.7968 0.4700
F5 0.5599 0.2032 0.5300
F6 0.7198 0.7198 0.0322
F7 0.7968 0.4401 0.4700
F8 0.9491 0.9491 0.2138

Calculated values
VASP energy = -5.891 eV/atom

=====

Entry 12:
Material: YTeMoN2
Method: DFT, PBE
State: relaxed

a b c (Å): 4.0821 4.0821 5.4856
angles (deg): 90.00 90.00 90.00
Fractional positions:
Y1 0.0000 0.0000 0.0000
Te1 0.5000 0.5000 0.0000
Mo1 0.5000 0.5000 0.5000
N1 0.0000 0.5000 0.5000
N2 0.5000 0.0000 0.5000

Calculated values
Uncorrected formation energy = -0.97 kJ/mol of atoms

=====

Entry 13:
Material: ZrCdFe2
Method: DFT, PBE
State: relaxed

a b c (Å): 9.1549 9.1549 9.1549
angles (deg): 18.65 18.65 18.65
Fractional positions:
Zr1 0.0000 0.0000 0.0000
Cd1 0.7678 0.7678 0.7678
Fe1 0.2495 0.2495 0.2495
Fe2 0.5198 0.5198 0.5198

Calculated values
ΔE_f = 100 kJ/mol of formula units

=====

Entry 14:
Material: Tb2TiNi
Method: DFT, PBE
State: relaxed

a b c (Å): 9.9729 9.9729 9.9729
angles (deg): 19.55 19.55 19.55
Fractional positions:
Tb1 0.1021 0.1021 0.1021
Tb2 0.8979 0.8979 0.8979
Ti1 0.0000 0.0000 0.0000
Ni1 0.5000 0.5000 0.5000

Calculated values
Excess energy over the best structure of this formula in the dataset = 0.393 eV/atom
ΔE_f = 140 kJ/mol of formula units

=====

Entry 15:
Material: HoScAgAu
Method: DFT, PBE
State: relaxed

a b c (Å): 3.4919 3.4919 7.0799
angles (deg): 90.00 90.00 90.00
Fractional positions:
Ho1 0.0000 0.0000 0.0000
Sc1 0.0000 0.0000 0.5098
Ag1 0.5000 0.5000 0.2769
Au1 0.5000 0.5000 0.7342

Calculated values
Excess energy over the best structure of this formula in the dataset = 0.000 eV/atom
ΔE_f = -219 kJ/mol of formula units

=====

Entry 16:
Material: Li2Be2GePt5
Method: DFT, PBE
State: relaxed

a b c (Å): 9.1903 9.1903 3.3152
angles (deg): 90.00 90.00 90.00
Fractional positions:
Li1 0.1725 0.3275 0.0000
Li2 0.3275 0.8275 0.0000
Li3 0.6725 0.1725 0.0000
Li4 0.8275 0.6725 0.0000
Be1 0.1253 0.6253 0.0000
Be2 0.3747 0.1253 0.0000
Be3 0.6253 0.8747 0.0000
Be4 0.8747 0.3747 0.0000
Ge1 0.0000 0.0000 0.0000
Ge2 0.5000 0.5000 0.0000
Pt1 0.0000 0.5000 0.5000
Pt2 0.0732 0.7914 0.5000
Pt3 0.2086 0.0732 0.5000
Pt4 0.2914 0.5732 0.5000
Pt5 0.4268 0.2914 0.5000
Pt6 0.5000 0.0000 0.5000
Pt7 0.5732 0.7086 0.5000
Pt8 0.7086 0.4268 0.5000
Pt9 0.7914 0.9268 0.5000
Pt10 0.9268 0.2086 0.5000

Calculated values
ΔE_f = -611 kJ/mol of formula units

=====

Entry 17:
Material: HfURu
Method: DFT, PBE
State: relaxed

a b c (Å): 3.4178 3.4178 12.4594
angles (deg): 97.89 97.89 60.01
Fractional positions:
Hf1 0.0000 0.0000 0.0000
Hf2 0.1678 0.1678 0.4988
U1 0.2686 0.2686 0.8013
U2 0.7673 0.7673 0.2999
Ru1 0.3892 0.3892 0.1666
Ru2 0.5572 0.5572 0.6672

Calculated values
ΔE_f = 22 kJ/mol of formula units

=====

Entry 18:
Material: Dy5HoEr2Sc
Method: DFT, PBE
State: relaxed

a b c (Å): 10.2864 10.2864 10.3118
angles (deg): 90.00 90.00 149.00
Fractional positions:
Dy1 0.0171 0.9829 0.5000
Dy2 0.2755 0.7245 0.8036
Dy3 0.3002 0.6998 0.1890
Dy4 0.3769 0.6231 0.5045
Dy5 0.4824 0.5176 0.2241
Dy6 0.5176 0.4824 0.7241
Dy7 0.6231 0.3769 0.0045
Dy8 0.6998 0.3002 0.6890
Dy9 0.7245 0.2755 0.3036
Dy10 0.9829 0.0171 0.0000
Ho1 0.4086 0.5914 0.9404
Ho2 0.5914 0.4086 0.4404
Er1 0.1114 0.8886 0.7946
Er2 0.1140 0.8860 0.2211
Er3 0.8860 0.1140 0.7211
Er4 0.8886 0.1114 0.2946
Sc1 0.1951 0.8049 0.4985
Sc2 0.8049 0.1951 0.9985

Calculated values
ΔE_f = 149 kJ/mol of formula units

=====

Entry 19:
Material: BaMnHg
Method: DFT, PBE
State: relaxed

a b c (Å): 6.6197 6.6197 6.6197
angles (deg): 146.53 146.53 48.06
Fractional positions:
Ba1 0.0000 0.0000 0.0000
Mn1 0.7134 0.7134 0.0000
Hg1 0.2946 0.2946 0.0000

Calculated values
Excess energy over the best structure of this formula in the dataset = 0.068 eV/atom
ΔE_f = 51 kJ/mol of formula units

=====

Entry 20:
Material: K2SrAu
Method: DFT, PBE
State: relaxed

a b c (Å): 6.0299 6.0299 6.0299
angles (deg): 120.49 120.49 89.15
Fractional positions:
K1 0.0000 0.0000 0.0000
K2 0.7500 0.2500 0.5000
Sr1 0.2500 0.7500 0.5000
Au1 0.5000 0.5000 0.0000

Calculated values
Excess energy over the best structure of this formula in the dataset = 0.243 eV/atom
ΔE_f = -13 kJ/mol of formula units